(1)
A plane-wave DFT calculation with PBE was carried out for Li2CaTlSe after structural relaxation.

Cell: 4.764 4.764 6.613 Å, 90.00 90.00 90.00°
Space group P4/mmm (No. 123)
Asymmetric unit:
1 Li 0.000 0.500 0.000 (multiplicity 2)
2 Ca 0.000 0.000 0.500 (multiplicity 1)
3 Tl 0.500 0.500 0.500 (multiplicity 1)
4 Se 0.500 0.500 0.000 (multiplicity 1)

Properties
* ΔE_f (raw): -2.3 eV per formula unit
* Fermi-level density of states: 0.526 states/eV/atom
* density: 3.7 Mg/m³
* energy: -2.80 eV per atom

---

(2)
A plane-wave DFT calculation with PBE was carried out for LiCa4Tm3Se8 after structural relaxation.

Cell: 8.1819 8.1819 20.1713 Å, 90.00 90.00 120.00°
Space group R-3m (No. 166, hexagonal axes)
Asymmetric unit:
1 Li 0.0000 0.0000 0.0000 (multiplicity 3)
2 Ca 0.0000 0.0000 0.5000 (multiplicity 3)
3 Ca 0.0000 0.5000 0.5000 (multiplicity 9)
4 Tm 0.0000 0.5000 0.0000 (multiplicity 9)
5 Se 0.0000 0.0000 0.2532 (multiplicity 6)
6 Se 0.9996 0.4998 0.2542 (multiplicity 18)

Properties
* ΔE_f (raw): -29.6 eV per formula unit
* Fermi-level density of states: 0.228 states/eV/atom
* density: 5.6 Mg/m³
* energy: -5.05 eV per atom

---

(3)
A plane-wave DFT calculation with PBE was carried out for LiCaTmSe3 after structural relaxation.

Cell: 8.388 4.049 8.819 Å, 90.00 102.77 90.00°
Space group P2_1/m (No. 11)
Asymmetric unit:
1 Li 0.085 0.250 0.085 (multiplicity 2)
2 Ca 0.187 0.250 0.734 (multiplicity 2)
3 Tm 0.331 0.750 0.333 (multiplicity 2)
4 Se 0.104 0.250 0.370 (multiplicity 2)
5 Se 0.224 0.750 0.006 (multiplicity 2)
6 Se 0.432 0.750 0.666 (multiplicity 2)

Properties
* ΔE_f (raw): -10.4 eV per formula unit
* Fermi-level density of states: 0.000 states/eV/atom
* density: 5.1 Mg/m³
* energy: -4.87 eV per atom

---

(4)
A plane-wave DFT calculation with PBE was carried out for LiCa3U3Se8 after structural relaxation.

Cell: 8.1318 8.1318 20.7904 Å, 90.00 90.00 120.00°
Space group R-3m (No. 166, hexagonal axes)
Asymmetric unit:
1 Li 0.0000 0.0000 0.0000 (multiplicity 3)
2 Ca 0.0000 0.5000 0.5000 (multiplicity 9)
3 U 0.0000 0.5000 0.0000 (multiplicity 9)
4 Se 0.0000 0.0000 0.2497 (multiplicity 6)
5 Se 0.0016 0.5008 0.7458 (multiplicity 18)

Properties
* ΔE_f (raw): -21.4 eV per formula unit
* Fermi-level density of states: 0.727 states/eV/atom
* density: 6.2 Mg/m³
* energy: -6.07 eV per atom

---

(5)
A plane-wave DFT calculation with PBE was carried out for LiCaU2Se4 after structural relaxation.

Cell: 6.903 4.009 7.384 Å, 90.00 108.28 90.00°
Space group P2/m (No. 10)
Asymmetric unit:
1 Li 0.000 0.000 0.000 (multiplicity 1)
2 Ca 0.500 0.500 0.000 (multiplicity 1)
3 U 0.000 0.500 0.500 (multiplicity 1)
4 U 0.500 0.000 0.500 (multiplicity 1)
5 Se 0.242 0.500 0.243 (multiplicity 2)
6 Se 0.245 0.000 0.755 (multiplicity 2)

Properties
* ΔE_f (raw): -10.4 eV per formula unit
* Fermi-level density of states: 1.174 states/eV/atom
* density: 7.2 Mg/m³
* energy: -6.35 eV per atom

---

(6)
A plane-wave DFT calculation with PBE was carried out for LiCaUSe3 after structural relaxation.

Cell: 8.542 4.047 8.889 Å, 90.00 102.80 90.00°
Space group P2_1/m (No. 11)
Asymmetric unit:
1 Li 0.085 0.250 0.083 (multiplicity 2)
2 Ca 0.183 0.250 0.731 (multiplicity 2)
3 U 0.334 0.750 0.338 (multiplicity 2)
4 Se 0.097 0.250 0.368 (multiplicity 2)
5 Se 0.221 0.750 0.005 (multiplicity 2)
6 Se 0.426 0.750 0.673 (multiplicity 2)

Properties
* ΔE_f (raw): -8.3 eV per formula unit
* Fermi-level density of states: 0.684 states/eV/atom
* density: 5.8 Mg/m³
* energy: -5.65 eV per atom

---

(7)
A plane-wave DFT calculation with PBE was carried out for LiCa2USe4 after structural relaxation.

Cell: 7.156 4.136 7.190 Å, 90.00 108.89 90.00°
Space group P2/m (No. 10)
Asymmetric unit:
1 Li 0.000 0.000 0.000 (multiplicity 1)
2 Ca 0.000 0.500 0.500 (multiplicity 1)
3 Ca 0.500 0.000 0.500 (multiplicity 1)
4 U 0.500 0.500 0.000 (multiplicity 1)
5 Se 0.249 0.000 0.757 (multiplicity 2)
6 Se 0.249 0.500 0.242 (multiplicity 2)

Properties
* ΔE_f (raw): -12.4 eV per formula unit
* Fermi-level density of states: 0.731 states/eV/atom
* density: 5.3 Mg/m³
* energy: -5.45 eV per atom

---

(8)
A plane-wave DFT calculation with PBE was carried out for LiCa2Y3Se6 after structural relaxation.

Cell: 7.069 12.249 7.194 Å, 90.00 109.14 90.00°
Space group C2/m (No. 12)
Asymmetric unit:
1 Li 0.000 0.000 0.000 (multiplicity 2)
2 Ca 0.000 0.334 0.000 (multiplicity 4)
3 Y 0.000 0.168 0.500 (multiplicity 4)
4 Y 0.000 0.500 0.500 (multiplicity 2)
5 Se 0.243 0.000 0.748 (multiplicity 4)
6 Se 0.247 0.163 0.251 (multiplicity 8)

Properties
* ΔE_f (raw): -22.0 eV per formula unit
* Fermi-level density of states: 0.240 states/eV/atom
* density: 4.7 Mg/m³
* energy: -5.69 eV per atom

---

(9)
A plane-wave DFT calculation with PBE was carried out for LiCaYSe3 after structural relaxation.

Cell: 8.463 4.078 8.850 Å, 90.00 102.26 90.00°
Space group P2_1/m (No. 11)
Asymmetric unit:
1 Li 0.085 0.250 0.084 (multiplicity 2)
2 Ca 0.183 0.250 0.732 (multiplicity 2)
3 Y 0.332 0.750 0.331 (multiplicity 2)
4 Se 0.103 0.250 0.370 (multiplicity 2)
5 Se 0.220 0.750 0.003 (multiplicity 2)
6 Se 0.428 0.750 0.667 (multiplicity 2)

Properties
* ΔE_f (raw): -10.4 eV per formula unit
* density: 4.1 Mg/m³
* energy: -5.21 eV per atom

---

(10)
A plane-wave DFT calculation with PBE was carried out for LiCa3Y3Se8 after structural relaxation.

Cell: 8.2164 8.2164 20.4102 Å, 90.00 90.00 120.00°
Space group R-3m (No. 166, hexagonal axes)
Asymmetric unit:
1 Li 0.0000 0.0000 0.0000 (multiplicity 3)
2 Ca 0.0000 0.5000 0.5000 (multiplicity 9)
3 Y 0.0000 0.5000 0.0000 (multiplicity 9)
4 Se 0.0000 0.0000 0.2520 (multiplicity 6)
5 Se 0.0008 0.5004 0.7452 (multiplicity 18)

Properties
* ΔE_f (raw): -27.3 eV per formula unit
* density: 4.3 Mg/m³
* energy: -5.50 eV per atom

---

(11)
A plane-wave DFT calculation with PBE was carried out for LiCa4Y3Se8 after structural relaxation.

Cell: 8.2450 8.2450 20.3278 Å, 90.00 90.00 120.00°
Space group R-3m (No. 166, hexagonal axes)
Asymmetric unit:
1 Li 0.0000 0.0000 0.0000 (multiplicity 3)
2 Ca 0.0000 0.0000 0.5000 (multiplicity 3)
3 Ca 0.0000 0.5000 0.5000 (multiplicity 9)
4 Y 0.0000 0.5000 0.0000 (multiplicity 9)
5 Se 0.0000 0.0000 0.2515 (multiplicity 6)
6 Se 0.0019 0.5009 0.7472 (multiplicity 18)

Properties
* ΔE_f (raw): -30.0 eV per formula unit
* Fermi-level density of states: 0.245 states/eV/atom
* density: 4.4 Mg/m³
* energy: -5.45 eV per atom

---

(12)
A plane-wave DFT calculation with PBE was carried out for LiCaZnSe2 after structural relaxation.

Cell: 5.408 5.408 6.368 Å, 90.00 90.00 90.00°
Space group P4/mmm (No. 123)
Asymmetric unit:
1 Li 0.000 0.000 0.000 (multiplicity 1)
2 Ca 0.000 0.000 0.500 (multiplicity 1)
3 Zn 0.500 0.500 0.000 (multiplicity 1)
4 Se 0.000 0.500 0.500 (multiplicity 2)

Properties
* ΔE_f (raw): -0.2 eV per formula unit
* Fermi-level density of states: 0.882 states/eV/atom
* density: 2.4 Mg/m³
* energy: -2.47 eV per atom

---

(13)
A plane-wave DFT calculation with PBE was carried out for LiCa3Si3 after structural relaxation.

Cell: 4.362 10.677 14.085 Å, 90.00 90.00 90.00°
Space group Cmcm (No. 63)
Asymmetric unit:
1 Li 0.000 0.000 0.000 (multiplicity 4)
2 Ca 0.000 0.015 0.250 (multiplicity 4)
3 Ca 0.000 0.298 0.103 (multiplicity 8)
4 Si 0.000 0.281 0.750 (multiplicity 4)
5 Si 0.000 0.405 0.605 (multiplicity 8)

Properties
* ΔE_f (raw): -3.1 eV per formula unit
* Fermi-level density of states: 0.309 states/eV/atom
* density: 2.1 Mg/m³
* energy: -3.90 eV per atom

---

(14)
A plane-wave DFT calculation with PBE was carried out for LiCa3Si2 after structural relaxation.

Cell: 4.062 9.880 7.986 Å, 90.00 104.73 90.00°
Space group P2_1/m (No. 11)
Asymmetric unit:
1 Li 0.070 0.250 0.140 (multiplicity 2)
2 Ca 0.119 0.750 0.236 (multiplicity 2)
3 Ca 0.349 0.549 0.700 (multiplicity 4)
4 Si 0.000 0.000 0.000 (multiplicity 2)
5 Si 0.241 0.250 0.481 (multiplicity 2)

Properties
* ΔE_f (raw): -1.9 eV per formula unit
* Fermi-level density of states: 0.192 states/eV/atom
* density: 2.0 Mg/m³
* energy: -3.44 eV per atom

---

(15)
A plane-wave DFT calculation with PBE was carried out for Li2Ca2Si after structural relaxation.

Cell: 3.656 3.656 19.288 Å, 90.00 90.00 90.00°
Space group I4/mmm (No. 139)
Asymmetric unit:
1 Li 0.000 0.500 0.250 (multiplicity 4)
2 Ca 0.000 0.000 0.090 (multiplicity 4)
3 Si 0.000 0.000 0.500 (multiplicity 2)

Properties
* ΔE_f (raw): -0.3 eV per formula unit
* Fermi-level density of states: 0.529 states/eV/atom
* density: 1.6 Mg/m³
* energy: -2.71 eV per atom
* ΔE to the lowest computed polymorph: 54.2 meV/atom

---

(16)
A plane-wave DFT calculation with PBE was carried out for LiCaSi2 after structural relaxation.

Cell: 5.787 8.752 2.898 Å, 90.00 90.00 90.00°
Space group Cmmm (No. 65)
Asymmetric unit:
1 Li 0.000 0.000 0.000 (multiplicity 2)
2 Ca 0.000 0.500 0.000 (multiplicity 2)
3 Si 0.250 0.250 0.500 (multiplicity 4)

Properties
* ΔE_f (raw): -0.4 eV per formula unit
* Fermi-level density of states: 0.426 states/eV/atom
* density: 2.3 Mg/m³
* energy: -3.78 eV per atom
* ΔE to the lowest computed polymorph: 318.1 meV/atom

---

(17)
A plane-wave DFT calculation with PBE was carried out for LiCaSi2 after structural relaxation.

Cell: 4.070 4.070 4.331 Å, 90.00 90.00 90.00°
Space group P4/mmm (No. 123)
Asymmetric unit:
1 Li 0.000 0.000 0.000 (multiplicity 1)
2 Ca 0.500 0.500 0.000 (multiplicity 1)
3 Si 0.000 0.500 0.500 (multiplicity 2)

Properties
* ΔE_f (raw): -0.7 eV per formula unit
* Fermi-level density of states: 0.375 states/eV/atom
* density: 2.4 Mg/m³
* energy: -3.86 eV per atom
* ΔE to the lowest computed polymorph: 240.9 meV/atom

---

(18)
A plane-wave DFT calculation with PBE was carried out for LiCaSi2 after structural relaxation.

Cell: 7.929 3.805 10.664 Å, 90.00 90.00 90.00°
Space group Pnma (No. 62)
Asymmetric unit:
1 Li 0.001 0.250 0.112 (multiplicity 4)
2 Ca 0.134 0.750 0.364 (multiplicity 4)
3 Si 0.166 0.750 0.674 (multiplicity 4)
4 Si 0.232 0.750 0.068 (multiplicity 4)

Properties
* ΔE_f (raw): -1.6 eV per formula unit
* Fermi-level density of states: 0.330 states/eV/atom
* density: 2.1 Mg/m³
* energy: -4.10 eV per atom
* ΔE to the lowest computed polymorph: 0.0 meV/atom

---

(19)
A plane-wave DFT calculation with PBE was carried out for Li2Ca2Si after structural relaxation.

Cell: 6.942 6.942 4.783 Å, 90.00 90.00 90.00°
Space group P4/mbm (No. 127)
Asymmetric unit:
1 Li 0.133 0.367 0.000 (multiplicity 4)
2 Ca 0.201 0.701 0.500 (multiplicity 4)
3 Si 0.000 0.000 0.000 (multiplicity 2)

Properties
* ΔE_f (raw): -0.6 eV per formula unit
* Fermi-level density of states: 0.370 states/eV/atom
* density: 1.8 Mg/m³
* energy: -2.76 eV per atom
* ΔE to the lowest computed polymorph: 0.0 meV/atom

---

(20)
A plane-wave DFT calculation with PBE was carried out for LiCaSi2 after structural relaxation.

Cell: 6.757 6.757 6.757 Å, 90.00 90.00 90.00°
Space group F-43m (No. 216)
Asymmetric unit:
1 Li 0.000 0.000 0.000 (multiplicity 4)
2 Ca 0.250 0.250 0.750 (multiplicity 4)
3 Si 0.000 0.000 0.500 (multiplicity 4)
4 Si 0.250 0.250 0.250 (multiplicity 4)

Properties
* ΔE_f (raw): 0.3 eV per formula unit
* Fermi-level density of states: 0.504 states/eV/atom
* density: 2.2 Mg/m³
* energy: -3.62 eV per atom
* ΔE to the lowest computed polymorph: 481.9 meV/atom

---

(21)
A plane-wave DFT calculation with PBE was carried out for LiCaSi2 after structural relaxation.

Cell: 3.1744 3.1744 27.4850 Å, 90.00 90.00 120.00°
Space group R-3m (No. 166, hexagonal axes)
Asymmetric unit:
1 Li 0.0000 0.0000 0.0000 (multiplicity 3)
2 Ca 0.0000 0.0000 0.5000 (multiplicity 3)
3 Si 0.0000 0.0000 0.2559 (multiplicity 6)

Properties
* ΔE_f (raw): 0.8 eV per formula unit
* Fermi-level density of states: 0.573 states/eV/atom
* density: 2.1 Mg/m³
* energy: -3.48 eV per atom
* ΔE to the lowest computed polymorph: 619.0 meV/atom

---

(22)
A plane-wave DFT calculation with PBE was carried out for Li2CaSi2 after structural relaxation.

Cell: 7.779 7.779 2.846 Å, 90.00 90.00 90.00°
Space group P4/mbm (No. 127)
Asymmetric unit:
1 Li 0.116 0.384 0.000 (multiplicity 4)
2 Ca 0.000 0.000 0.000 (multiplicity 2)
3 Si 0.178 0.678 0.500 (multiplicity 4)

Properties
* ΔE_f (raw): -0.9 eV per formula unit
* Fermi-level density of states: 0.314 states/eV/atom
* density: 2.1 Mg/m³
* energy: -3.52 eV per atom
* ΔE to the lowest computed polymorph: 141.3 meV/atom